A plane-wave DFT calculation with PBE was carried out for a relaxed structure of Ca4BiSb2.

## Properties
- SG = No. 141
- E_form (uncorrected) (meV/atom) = -815

a = 8.643 Å, b = 8.643 Å, c = 8.643 Å
α = 109.48°, β = 109.48°, γ = 109.44°
Fractional positions:
Ca (0.191, 0.258, 0.566)
Ca (0.191, 0.625, 0.934)
Ca (0.258, 0.191, 0.066)
Ca (0.375, 0.809, 0.566)
Ca (0.625, 0.191, 0.434)
Ca (0.742, 0.809, 0.934)
Ca (0.809, 0.375, 0.066)
Ca (0.809, 0.742, 0.434)
Bi (0.125, 0.875, 0.250)
Bi (0.875, 0.125, 0.750)
Sb (0.000, 0.500, 0.500)
Sb (0.500, 0.000, 0.000)
Sb (0.500, 0.500, 0.000)
Sb (0.500, 0.500, 0.500)